# La6In2FeO (PBE+U, relaxed)
# final energy: -202.2 eV per cell
# D(E_F): 13.0 states/eV/f.u.
data_La6In2FeO
_chemical_formula_sum 'La24 In8 Fe4 O4'
_cell_length_a 10.679
_cell_length_b 10.679
_cell_length_c 10.679
_cell_angle_alpha 90.00
_cell_angle_beta 90.00
_cell_angle_gamma 90.00
_symmetry_space_group_name_H-M 'F m -3 m'
_symmetry_Int_Tables_number 225
_symmetry_space_group_name_Hall '-F 4 2 3'
loop_
_atom_site_label
_atom_site_type_symbol
_atom_site_fract_x
_atom_site_fract_y
_atom_site_fract_z
La1 La 0.000 0.000 0.238
In1 In 0.250 0.250 0.250
Fe1 Fe 0.000 0.000 0.500
O1 O 0.000 0.000 0.000